This record from Alexandria via LeMat-Bulk describes a relaxed structure of Sm2Ho3Er2. The functional is GGA-PBE.

Unit cell a=3.547 b=11.220 c=6.135 alpha=100.48 beta=73.16 gamma=108.38
Fractional coordinates of all 7 atoms:
Sm  0.859  0.144  0.570
Sm  0.141  0.856  0.430
Ho  0.000  0.000  0.000
Ho  0.428  0.571  0.286
Ho  0.572  0.429  0.714
Er  0.717  0.288  0.141
Er  0.283  0.712  0.859

Results
**SG**: C2/m
**Fermi-level density of states**: 9.445 states/eV per cell
**VASP energy**: -4.593 eV per atom
**ΔE to the lowest computed polymorph**: 0.000 eV/atom
**DFT formation energy**: 0.021 eV per atom